(1)
The following is a PBE-GGA calculation of KInW after structural relaxation, from the Alexandria database.

The calculation puts the formation energy at 0.9111 eV/atom.

It has space group I4mm (No. 107), with a = 2.8838 Å, b = 2.8838 Å, c = 16.6195 Å, α = 90.00°, β = 90.00° and γ = 90.00°. The asymmetric unit holds K at (0.0000, 0.0000, 0.0000), In at (0.0000, 0.0000, 0.3183) and W at (0.0000, 0.0000, 0.6812).

(2)
The following is a PBE-GGA calculation of Pr2DyScSb4 after structural relaxation, from the Alexandria database.

For the formation energy without anion corrections, the calculation gives -1.09 eV/atom.

It has space group P2/m (No. 10), with a = 7.6398 Å, b = 4.4299 Å, c = 7.6667 Å, α = 90.00°, β = 109.56° and γ = 90.00°. The asymmetric unit holds Pr at (0.0000, 0.0000, 0.0000), Pr at (0.0000, 0.5000, 0.5000), Dy at (0.5000, 0.0000, 0.5000), Sc at (0.5000, 0.5000, 0.0000), Sb at (0.2660, 0.5000, 0.2489) and Sb at (0.2708, 0.0000, 0.7633).

(3)
The following is a PBE-GGA calculation of Sr2Li6In9 after structural relaxation, from the Alexandria database.

The calculation puts the formation energy at -0.1951 eV/atom.

It has space group P6/mmm (No. 191), with a = 6.1114 Å, b = 6.1114 Å, c = 14.0017 Å, α = 90.00°, β = 90.00° and γ = 120.00°. The asymmetric unit holds Sr at (0.0000, 0.0000, 0.1643), Li at (0.3333, 0.6667, 0.1625), Li at (0.3333, 0.6667, 0.5000), In at (0.0000, 0.5000, 0.0000) and In at (0.0000, 0.5000, 0.3276).

(4)
The following is a PBE-GGA calculation of Li3BiP2O8 after structural relaxation, from the Alexandria database.

For the formation energy without anion corrections, the calculation gives -2.14 eV/atom.

It has space group C2/m (No. 12), with a = 8.7026 Å, b = 5.7514 Å, c = 6.3684 Å, α = 90.00°, β = 92.65° and γ = 90.00°. The asymmetric unit holds Li at (0.0000, 0.0000, 0.0000), Li at (0.1621, 0.5000, 0.8001), Bi at (0.0000, 0.0000, 0.5000), P at (0.1458, 0.5000, 0.2613), O at (0.0350, 0.2838, 0.2355), O at (0.2240, 0.5000, 0.4868) and O at (0.2352, 0.0000, 0.9076).

(5)
The following is a PBE-GGA calculation of TlBiSb2I after structural relaxation, from the Alexandria database.

For the formation energy without anion corrections, the calculation gives 0.79 eV/atom.

It has space group P4/mmm (No. 123), with a = 5.6825 Å, b = 5.6825 Å, c = 6.0991 Å, α = 90.00°, β = 90.00° and γ = 90.00°. The asymmetric unit holds Tl at (0.0000, 0.0000, 0.0000), Bi at (0.0000, 0.0000, 0.5000), Sb at (0.0000, 0.5000, 0.0000) and I at (0.5000, 0.5000, 0.5000).

(6)
The following is a PBE-GGA calculation of Ca3ScCd after structural relaxation, from the Alexandria database.

The calculation puts the formation energy at 0.3497 eV/atom.

It has space group Pm-3m (No. 221), with a = 5.8453 Å, b = 5.8453 Å, c = 5.8453 Å, α = 90.00°, β = 90.00° and γ = 90.00°. The asymmetric unit holds Ca at (0.0000, 0.0000, 0.5000), Sc at (0.5000, 0.5000, 0.5000) and Cd at (0.0000, 0.0000, 0.0000).

(7)
The following is a PBE-GGA calculation of CaTaBe4 after structural relaxation, from the Alexandria database.

The calculation puts the formation energy at 0.3129 eV/atom.

It has space group F-43m (No. 216), with a = 6.7715 Å, b = 6.7715 Å, c = 6.7715 Å, α = 90.00°, β = 90.00° and γ = 90.00°. The asymmetric unit holds Ca at (0.0000, 0.0000, 0.0000), Ta at (0.2500, 0.2500, 0.2500) and Be at (0.1192, 0.1192, 0.6192).

(8)
The following is a PBE-GGA calculation of SrMg2Ir after structural relaxation, from the Alexandria database.

The calculation puts the formation energy at -0.0447 eV/atom.

It has space group Pm (No. 6), with a = 3.5621 Å, b = 4.4847 Å, c = 6.5823 Å, α = 90.00°, β = 105.51° and γ = 90.00°. The asymmetric unit holds Sr at (0.0000, 0.0000, 0.0000), Mg at (0.2775, 0.5000, 0.5584), Mg at (0.7214, 0.0000, 0.4456) and Ir at (0.6176, 0.5000, 0.2363).

(9)
The following is a PBE-GGA calculation of LiEuErRh after structural relaxation, from the Alexandria database.

The calculation puts the formation energy at -0.3454 eV/atom.

It has space group F-43m (No. 216), with a = 7.0574 Å, b = 7.0574 Å, c = 7.0574 Å, α = 90.00°, β = 90.00° and γ = 90.00°. The asymmetric unit holds Li at (0.0000, 0.0000, 0.0000), Eu at (0.2500, 0.2500, 0.7500), Er at (0.2500, 0.2500, 0.2500) and Rh at (0.0000, 0.0000, 0.5000).

(10)
The following is a PBE-GGA calculation of CsHgSb2 after structural relaxation, from the Alexandria database.

For the formation energy without anion corrections, the calculation gives -0.23 eV/atom.

It has space group C2/c (No. 15), with a = 6.8390 Å, b = 13.0242 Å, c = 6.9695 Å, α = 90.00°, β = 105.64° and γ = 90.00°. The asymmetric unit holds Cs at (0.0000, 0.1075, 0.2500), Hg at (0.0000, 0.2140, 0.7500) and Sb at (0.0738, 0.3959, 0.0738).

(11)
The following is a PBE-GGA calculation of RbBeFe3 after structural relaxation, from the Alexandria database.

The calculation puts the formation energy at 2.8632 eV/atom.

It has space group Pm-3m (No. 221), with a = 4.5884 Å, b = 4.5884 Å, c = 4.5884 Å, α = 90.00°, β = 90.00° and γ = 90.00°. The asymmetric unit holds Rb at (0.0000, 0.0000, 0.0000), Be at (0.5000, 0.5000, 0.5000) and Fe at (0.0000, 0.0000, 0.5000).

(12)
The following is a PBE-GGA calculation of NaTa2Nb2 after structural relaxation, from the Alexandria database.

The calculation puts the formation energy at 0.6123 eV/atom.

It has space group P4/mbm (No. 127), with a = 7.9675 Å, b = 7.9675 Å, c = 3.2678 Å, α = 90.00°, β = 90.00° and γ = 90.00°. The asymmetric unit holds Na at (0.0000, 0.0000, 0.0000), Ta at (0.1368, 0.3632, 0.0000) and Nb at (0.1441, 0.6441, 0.5000).

(13)
The following is a PBE-GGA calculation of TaAg2Se after structural relaxation, from the Alexandria database.

For the formation energy without anion corrections, the calculation gives 0.28 eV/atom.

It has space group R-3m (No. 166, hexagonal axes), with a = 2.9572 Å, b = 2.9572 Å, c = 29.7987 Å, α = 90.00°, β = 90.00° and γ = 120.00°. The asymmetric unit holds Ta at (0.0000, 0.0000, 0.0000), Ag at (0.0000, 0.0000, 0.2524) and Se at (0.0000, 0.0000, 0.5000).

(14)
The following is a PBE-GGA calculation of DyEr4P5 after structural relaxation, from the Alexandria database.

The calculation puts the formation energy at -1.6140 eV/atom.

It has space group I4/m (No. 87), with a = 8.8918 Å, b = 8.8918 Å, c = 5.6244 Å, α = 90.00°, β = 90.00° and γ = 90.00°. The asymmetric unit holds Dy at (0.0000, 0.0000, 0.0000), Er at (0.1004, 0.6999, 0.5000), P at (0.0000, 0.0000, 0.5000) and P at (0.1005, 0.6988, 0.0000).

(15)
The following is a PBE-GGA calculation of RbInGe after structural relaxation, from the Alexandria database.

The calculation puts the formation energy at 0.0397 eV/atom.

It has space group Pnma (No. 62), with a = 13.6358 Å, b = 6.9146 Å, c = 4.3528 Å, α = 90.00°, β = 90.00° and γ = 90.00°. The asymmetric unit holds Rb at (0.2055, 0.2500, 0.0455), In at (0.0000, 0.0000, 0.5000) and Ge at (0.0739, 0.7500, 0.0748).

(16)
The following is a PBE-GGA calculation of La2CeEu after structural relaxation, from the Alexandria database.

The calculation puts the formation energy at 0.5119 eV/atom.

It has space group R-3m (No. 166, hexagonal axes), with a = 4.1535 Å, b = 4.1535 Å, c = 31.0706 Å, α = 90.00°, β = 90.00° and γ = 120.00°. The asymmetric unit holds La at (0.0000, 0.0000, 0.1155), Ce at (0.0000, 0.0000, 0.5000) and Eu at (0.0000, 0.0000, 0.0000).

(17)
The following is a PBE-GGA calculation of ZnSnN2F after structural relaxation, from the Alexandria database.

For the formation energy without anion corrections, the calculation gives 0.48 eV/atom.

It has space group P4/mmm (No. 123), with a = 3.9643 Å, b = 3.9643 Å, c = 4.0813 Å, α = 90.00°, β = 90.00° and γ = 90.00°. The asymmetric unit holds Zn at (0.0000, 0.0000, 0.0000), Sn at (0.5000, 0.5000, 0.5000), N at (0.0000, 0.5000, 0.0000) and F at (0.0000, 0.0000, 0.5000).

(18)
The following is a PBE-GGA calculation of RbBeBiTe3 after structural relaxation, from the Alexandria database.

For the formation energy without anion corrections, the calculation gives -0.50 eV/atom.

It has space group P2_1/m (No. 11), with a = 10.3046 Å, b = 4.3386 Å, c = 10.5616 Å, α = 90.00°, β = 108.99° and γ = 90.00°. The asymmetric unit holds Rb at (0.2329, 0.2500, 0.1939), Be at (0.4026, 0.7500, 0.9247), Bi at (0.1366, 0.2500, 0.6640), Te at (0.1535, 0.7500, 0.8818), Te at (0.1716, 0.7500, 0.4585) and Te at (0.4740, 0.2500, 0.8287).

(19)
The following is a PBE-GGA calculation of Mg2Cu5Ge4 after structural relaxation, from the Alexandria database.

The calculation puts the formation energy at 0.0141 eV/atom.

It has space group Fmmm (No. 69), with a = 5.0853 Å, b = 8.9428 Å, c = 16.1768 Å, α = 90.00°, β = 90.00° and γ = 90.00°. The asymmetric unit holds Mg at (0.0000, 0.0000, 0.0968), Cu at (0.0000, 0.0000, 0.5000), Cu at (0.2500, 0.2500, 0.0000), Cu at (0.2500, 0.2500, 0.2500) and Ge at (0.0000, 0.1563, 0.3696).

(20)
The following is a PBE-GGA calculation of Tb4Hg2Pd after structural relaxation, from the Alexandria database.

The calculation puts the formation energy at -0.4149 eV/atom.

It has space group R-3m (No. 166, hexagonal axes), with a = 5.1318 Å, b = 5.1318 Å, c = 25.2250 Å, α = 90.00°, β = 90.00° and γ = 120.00°. The asymmetric unit holds Tb at (0.0000, 0.0000, 0.1217), Tb at (0.0000, 0.0000, 0.3723), Hg at (0.0000, 0.0000, 0.2442) and Pd at (0.0000, 0.0000, 0.0000).

(21)
The following is a PBE-GGA calculation of Pu2TcSn after structural relaxation, from the Alexandria database.

The calculation puts the formation energy at -0.0806 eV/atom.

It has space group P4/mmm (No. 123), with a = 3.8255 Å, b = 3.8255 Å, c = 6.0248 Å, α = 90.00°, β = 90.00° and γ = 90.00°. The asymmetric unit holds Pu at (0.0000, 0.0000, 0.2312), Tc at (0.5000, 0.5000, 0.0000) and Sn at (0.5000, 0.5000, 0.5000).

(22)
The following is a PBE-GGA calculation of Pr3NdTe3 after structural relaxation, from the Alexandria database.

For the formation energy without anion corrections, the calculation gives -1.14 eV/atom.

It has space group R-3 (No. 148, hexagonal axes), with a = 9.3428 Å, b = 9.3428 Å, c = 18.5803 Å, α = 90.00°, β = 90.00° and γ = 120.00°. The asymmetric unit holds Pr at (0.0046, 0.7468, 0.4132), Nd at (0.0000, 0.0000, 0.1815) and Te at (0.0142, 0.6186, 0.5795).

(23)
The following is a PBE-GGA calculation of LaTaAgAu2 after structural relaxation, from the Alexandria database.

The calculation puts the formation energy at 0.6961 eV/atom.

It has space group P4/mmm (No. 123), with a = 5.1311 Å, b = 5.1311 Å, c = 5.5455 Å, α = 90.00°, β = 90.00° and γ = 90.00°. The asymmetric unit holds La at (0.0000, 0.0000, 0.0000), Ta at (0.0000, 0.0000, 0.5000), Ag at (0.5000, 0.5000, 0.0000) and Au at (0.0000, 0.5000, 0.5000).

(24)
The following is a PBE-GGA calculation of MnCrRh4 after structural relaxation, from the Alexandria database.

The calculation puts the formation energy at 0.2573 eV/atom.

It has space group F-43m (No. 216), with a = 7.2156 Å, b = 7.2156 Å, c = 7.2156 Å, α = 90.00°, β = 90.00° and γ = 90.00°. The asymmetric unit holds Mn at (0.0000, 0.0000, 0.0000), Cr at (0.2500, 0.2500, 0.2500) and Rh at (0.1250, 0.1250, 0.6250).

(25)
The following is a PBE-GGA calculation of SbIr2Br after structural relaxation, from the Alexandria database.

For the formation energy without anion corrections, the calculation gives 0.47 eV/atom.

It has space group Cm (No. 8), with a = 13.2565 Å, b = 3.0769 Å, c = 4.2044 Å, α = 90.00°, β = 90.22° and γ = 90.00°. The asymmetric unit holds Sb at (0.0000, 0.0000, 0.0000), Ir at (0.0572, 0.5000, 0.4947), Ir at (0.3650, 0.0000, 0.7327) and Br at (0.2430, 0.5000, 0.3786).